Entry from Alexandria via LeMat-Bulk: a geometry-optimized PuTeRh4 structure (GGA-PBE).

Summary:
E_form (uncorrected) ... -0.215 eV/atom
DOS(E_F) ... 2.41 states/eV per atom
Calculated density ... 12270 kg/m³

Unit cell a=5.3121 b=5.3121 c=5.3121 alpha=60.00 beta=60.00 gamma=60.00
Fractional coordinates of all 6 atoms:
Pu 0.0000 0.0000 0.0000
Te 0.7500 0.7500 0.7500
Rh 0.3750 0.3750 0.3750
Rh 0.3750 0.3750 0.8750
Rh 0.3750 0.8750 0.3750
Rh 0.8750 0.3750 0.3750


Entry from Alexandria via LeMat-Bulk: a geometry-optimized PuTe2Rh structure (GGA-PBE).

Summary:
E_form (uncorrected) ... -0.143 eV/atom
DOS(E_F) ... 2.60 states/eV per atom
Calculated density ... 8490 kg/m³

Unit cell a=9.5218 b=9.5218 c=9.5218 alpha=23.22 beta=23.22 gamma=23.22
Fractional coordinates of all 4 atoms:
Pu 0.0000 0.0000 0.0000
Te 0.1133 0.1133 0.1133
Te 0.8867 0.8867 0.8867
Rh 0.5000 0.5000 0.5000


Entry from Alexandria via LeMat-Bulk: a geometry-optimized Pu2ThRh9 structure (GGA-PBE).

Summary:
DOS(E_F) ... 2.13 states/eV per atom
Calculated density ... 12903 kg/m³
DFT formation energy ... -0.4773 eV/atom

Unit cell a=9.3150 b=9.3150 c=9.3150 alpha=32.87 beta=32.87 gamma=32.87
Fractional coordinates of all 12 atoms:
Pu 0.1406 0.1406 0.1406
Pu 0.8594 0.8594 0.8594
Th 0.0000 0.0000 0.0000
Rh 0.0811 0.5855 0.5855
Rh 0.3335 0.3335 0.3335
Rh 0.4145 0.4145 0.9189
Rh 0.4145 0.9189 0.4145
Rh 0.5000 0.5000 0.5000
Rh 0.5855 0.0811 0.5855
Rh 0.5855 0.5855 0.0811
Rh 0.6665 0.6665 0.6665
Rh 0.9189 0.4145 0.4145